Computed, not measured: an optimized crystal structure of Ga6Ni10B at the PBE level of DFT.

Cell and atoms, written as extended XYZ:
```
17
Lattice="-4.4380 0.3507 -1.9981 -2.4267 -4.5903 4.5845 -0.1291 6.7666 1.4742" Properties=species:S:1:pos:R:3 pbc="T T T"
Ga -4.3488 1.1379 0.9425
Ga -3.3977 4.3067 -0.6139
Ga -4.7710 -2.4812 1.2451
Ga -2.6451 1.3891 3.1181
Ga -1.1694 2.8105 0.0900
Ga -2.0938 -1.7584 1.3413
Ni -5.3536 1.9523 3.1737
Ni -3.4031 1.7922 -1.1867
Ni -3.9211 -0.7683 -0.4855
Ni -1.6402 0.5747 0.8869
Ni -1.1640 5.3251 0.6628
Ni -2.9436 -3.4713 3.0718
Ni -3.1140 3.1563 1.5119
Ni -3.8799 -0.6293 2.5487
Ni -1.6609 -0.8046 3.5477
Ni -0.8950 2.9810 2.5110
B -2.2190 0.1753 -0.9991
```

Values from the calculation:
Its space group is No. 162. For the energy of formation, the calculation gives -0.328 eV per atom. The value obtained for the theoretical density is 8.3 g/cm³.